(1)
DFT (PBE) results for a relaxed Pr2Al4IrPd3 crystal.

VASP energy = -5.751 eV/atom

Unit cell a=4.346 b=4.346 c=10.237 alpha=90.00 beta=90.00 gamma=90.00
Space group P-4m2 (No. 115)
Unique sites:
Pr 0.000 0.500 0.245 [2 per cell]
Al 0.000 0.000 0.500 [1 per cell]
Al 0.000 0.500 0.876 [2 per cell]
Al 0.500 0.500 0.500 [1 per cell]
Ir 0.500 0.500 0.000 [1 per cell]
Pd 0.000 0.000 0.000 [1 per cell]
Pd 0.000 0.500 0.630 [2 per cell]

---

(2)
DFT (PBE) results for a relaxed AlIrPd2Rh crystal.

VASP energy = -4.984 eV/atom

Unit cell a=4.887 b=4.887 c=4.628 alpha=90.00 beta=90.00 gamma=90.00
Space group P4/mmm (No. 123)
Unique sites:
Al 0.000 0.000 0.000 [1 per cell]
Ir 0.500 0.500 0.500 [1 per cell]
Pd 0.000 0.500 0.500 [2 per cell]
Rh 0.500 0.500 0.000 [1 per cell]

---

(3)
DFT (PBE) results for a relaxed AlSbIr2Pd crystal.

formation energy from raw total energies = 103 kJ/mol of atoms

Unit cell a=4.908 b=4.908 c=4.391 alpha=90.00 beta=90.00 gamma=90.00
Space group P4/mmm (No. 123)
Unique sites:
Al 0.000 0.000 0.000 [1 per cell]
Sb 0.500 0.500 0.000 [1 per cell]
Ir 0.000 0.500 0.500 [2 per cell]
Pd 0.000 0.000 0.500 [1 per cell]

---

no.,total magnetic moment (μB/f.u.)
1,0.000
2,0.000
3,0.861